VASP calculation (PBE-GGA) on a relaxed structure of Pm2Ni2Pd.

DFT formation energy: -517 meV per atom
uncorrected energy: -28.843 eV per formula unit
density of states at the Fermi level: 3.5 states/eV/f.u.

Cell and atoms, written as extended XYZ:
```
5
Lattice="3.756 0.000 0.000 0.000 3.853 0.000 0.000 -1.927 6.899" Properties=species:S:1:pos:R:3 pbc="T T T"
Pd 0.000 0.000 0.000
Ni 0.000 1.927 4.154
Pm 1.878 1.927 1.751
Ni 0.000 0.000 2.745
Pm 1.878 0.000 5.149
```